Model w:
## Ag2PtAu (GGA-PBEsol)

Data for a relaxed structure of Ag2PtAu.

a b c (Å): 2.811 2.811 8.159
angles (deg): 90.00 90.00 90.00
Fractional coordinates of all 4 atoms:
Au 0.000 0.000 0.504
Pt 0.500 0.500 0.752
Ag 0.000 0.000 0.996
Ag 0.500 0.500 0.249

Output
* space-group type: P4mm (99)
* crystal system: tetragonal

Model x:
## Ag2PtAu (GGA-PBEsol)

Data for a relaxed structure of Ag2PtAu.

a b c (Å): 4.510 4.510 4.510
angles (deg): 60.00 60.00 60.00
Fractional coordinates of all 4 atoms:
Au 0.500 0.500 0.500
Pt 0.250 0.250 0.250
Ag 0.000 0.000 0.000
Ag 0.750 0.750 0.750

Output
* space-group type: F-43m (216)
* crystal system: cubic

What are the relative energies? In meV/atom: model w 0; model x 32.

Model w:
## LiCaTc2 (GGA-PBEsol)

Data for a relaxed structure of LiCaTc2.

a b c (Å): 2.578 4.882 5.134
angles (deg): 90.00 90.00 90.00
Fractional coordinates of all 4 atoms:
Ca 0.500 0.500 0.000
Li 0.500 0.500 0.500
Tc 0.000 0.000 0.748
Tc 0.000 0.000 0.252

Output
* space-group type: Pmmm (47)
* crystal system: orthorhombic

Model x:
## LiCaTc2 (GGA-PBEsol)

Data for a relaxed structure of LiCaTc2.

a b c (Å): 2.836 4.123 6.127
angles (deg): 90.00 101.29 90.00
Fractional coordinates of all 4 atoms:
Ca 0.523 0.000 0.494
Li 0.209 0.500 0.791
Tc 0.019 0.000 0.037
Tc 0.749 0.500 0.178

Output
* space-group type: Pm (6)
* crystal system: monoclinic

What are the relative energies? In meV/atom: model w 183; model x 0.

Model w:
## SrOs2Br (GGA-PBEsol)

Data for a relaxed structure of SrOs2Br.

a b c (Å): 2.834 5.256 5.923
angles (deg): 90.00 90.00 90.00
Fractional coordinates of all 4 atoms:
Sr 0.500 0.500 0.000
Os 0.000 0.000 0.812
Os 0.000 0.000 0.188
Br 0.500 0.500 0.500

Output
* space-group type: Pmmm (47)
* crystal system: orthorhombic

Model x:
## SrOs2Br (GGA-PBEsol)

Data for a relaxed structure of SrOs2Br.

a b c (Å): 3.050 4.519 6.237
angles (deg): 111.16 104.04 90.31
Fractional coordinates of all 4 atoms:
Sr 0.000 0.500 0.000
Os 0.000 0.500 0.500
Os 0.500 0.000 0.500
Br 0.500 0.000 0.000

Output
* space-group type: C2/m (12)
* crystal system: monoclinic

What are the relative energies? In meV/atom: model w 267; model x 0.

Model w:
## CuW2Au (GGA-PBEsol)

Data for a relaxed structure of CuW2Au.

a b c (Å): 2.698 2.698 8.644
angles (deg): 90.00 90.00 106.60
Fractional coordinates of all 4 atoms:
Au 0.000 0.000 0.488
Cu 0.500 0.500 0.245
W 0.000 0.000 0.010
W 0.500 0.500 0.756

Output
* space-group type: Cmm2 (35)
* crystal system: orthorhombic

Model x:
## CuW2Au (GGA-PBEsol)

Data for a relaxed structure of CuW2Au.

a b c (Å): 2.856 4.526 4.939
angles (deg): 100.29 106.81 90.00
Fractional coordinates of all 4 atoms:
Au 0.500 0.000 0.000
Cu 0.000 0.500 0.000
W 0.251 0.254 0.502
W 0.749 0.746 0.498

Output
* space-group type: C2/m (12)
* crystal system: monoclinic

What are the relative energies? In meV/atom: model w 0; model x 144.

Model w:
## ReAu (GGA-PBEsol)

Data for a relaxed structure of ReAu.

a b c (Å): 2.829 3.894 5.711
angles (deg): 90.00 90.87 90.00
Fractional coordinates of all 4 atoms:
Au 0.749 0.750 0.875
Au 0.251 0.250 0.125
Re 0.213 0.250 0.600
Re 0.787 0.750 0.400

Output
* space-group type: P2_1/m (11)
* crystal system: monoclinic

Model x:
## ReAu (GGA-PBEsol)

Data for a relaxed structure of ReAu.

a b c (Å): 3.888 4.020 4.831
angles (deg): 114.59 113.73 90.00
Fractional coordinates of all 4 atoms:
Au 0.876 0.626 0.753
Au 0.124 0.374 0.247
Re 0.368 0.118 0.735
Re 0.632 0.882 0.265

Output
* space-group type: Imma (74)
* crystal system: orthorhombic

What are the relative energies? In meV/atom: model w 0; model x 144.

Model w:
## KCSN (GGA-PBEsol)

Data for a relaxed structure of KCSN.

a b c (Å): 6.115 6.115 6.115
angles (deg): 100.86 112.33 115.57
Fractional coordinates of all 8 atoms:
K 0.775 0.775 0.000
K 0.775 0.275 0.500
S 0.545 0.156 0.889
S 0.266 0.656 0.111
C 0.199 0.967 0.731
C 0.236 0.467 0.269
N 0.947 0.827 0.619
N 0.208 0.327 0.381

Output
* space-group type: Ima2 (46)
* crystal system: orthorhombic

Model x:
## KCSN (GGA-PBEsol)

Data for a relaxed structure of KCSN.

a b c (Å): 6.313 7.653 7.718
angles (deg): 90.00 90.00 90.00
Fractional coordinates of all 16 atoms:
K 0.250 0.294 0.506
K 0.750 0.294 0.994
K 0.750 0.706 0.494
K 0.250 0.706 0.006
C 0.750 0.738 0.030
C 0.250 0.262 0.970
C 0.250 0.738 0.470
C 0.750 0.262 0.530
S 0.750 0.885 0.878
S 0.750 0.115 0.378
S 0.250 0.885 0.622
S 0.250 0.115 0.122
N 0.750 0.372 0.639
N 0.750 0.628 0.139
N 0.250 0.372 0.861
N 0.250 0.628 0.361

Output
* space-group type: Pbcm (57)
* crystal system: orthorhombic

What are the relative energies? In meV/atom: model w 0; model x 13.

Model w:
## HfTlGe3 (GGA-PBEsol)

Data for a relaxed structure of HfTlGe3.

a b c (Å): 5.123 5.123 5.123
angles (deg): 90.00 90.00 90.00
Fractional coordinates of all 5 atoms:
Tl 0.500 0.500 0.500
Hf 0.000 0.000 0.000
Ge 0.000 0.500 0.000
Ge 0.000 0.000 0.500
Ge 0.500 0.000 0.000

Output
* space-group type: Pm-3m (221)
* crystal system: cubic

Model x:
## HfTlGe3 (GGA-PBEsol)

Data for a relaxed structure of HfTlGe3.

a b c (Å): 5.085 5.085 5.085
angles (deg): 90.00 90.00 90.00
Fractional coordinates of all 5 atoms:
Tl 0.000 0.000 0.000
Hf 0.500 0.500 0.500
Ge 0.000 0.500 0.000
Ge 0.000 0.000 0.500
Ge 0.500 0.000 0.000

Output
* space-group type: Pm-3m (221)
* crystal system: cubic

What are the relative energies? In meV/atom: model w 0; model x 989.

Model w:
## ZrTlCl2 (GGA-PBEsol)

Data for a relaxed structure of ZrTlCl2.

a b c (Å): 3.269 5.139 5.139
angles (deg): 90.00 90.00 90.00
Site moments in Bohr magnetons follow the coordinates.
Fractional coordinates of all 4 atoms:
Tl 0.500 0.500 0.500  0.05
Zr 0.500 0.000 0.000  1.02
Cl 0.000 0.000 0.500  0.01
Cl 0.000 0.500 0.000  0.01

Output
* space-group type: P4/mmm (123)
* crystal system: tetragonal

Model x:
## ZrTlCl2 (GGA-PBEsol)

Data for a relaxed structure of ZrTlCl2.

a b c (Å): 3.149 3.149 9.064
angles (deg): 90.00 90.00 90.00
Fractional coordinates of all 4 atoms:
Tl 0.500 0.500 0.000
Zr 0.500 0.500 0.500
Cl 0.000 0.000 0.667
Cl 0.000 0.000 0.333

Output
* space-group type: P4/mmm (123)
* crystal system: tetragonal

What are the relative energies? In meV/atom: model w 610; model x 0.

Model w:
## Cd2MoW (GGA-PBEsol)

Data for a relaxed structure of Cd2MoW.

a b c (Å): 3.863 3.863 4.560
angles (deg): 90.00 90.00 90.00
Fractional coordinates of all 4 atoms:
Cd 0.000 0.500 0.000
Cd 0.500 0.000 0.000
Mo 0.500 0.500 0.500
W 0.000 0.000 0.500

Output
* space-group type: P4/mmm (123)
* crystal system: tetragonal

Model x:
## Cd2MoW (GGA-PBEsol)

Data for a relaxed structure of Cd2MoW.

a b c (Å): 2.739 2.739 9.233
angles (deg): 90.00 90.00 90.00
Fractional coordinates of all 4 atoms:
Cd 0.000 0.000 0.991
Cd 0.500 0.500 0.260
Mo 0.000 0.000 0.505
W 0.500 0.500 0.745

Output
* space-group type: P4mm (99)
* crystal system: tetragonal

What are the relative energies? In meV/atom: model w 113; model x 0.

Model w:
## CrTcBr2 (GGA-PBEsol)

Data for a relaxed structure of CrTcBr2.

a b c (Å): 3.235 4.496 4.496
angles (deg): 90.00 90.00 90.00
Site moments in Bohr magnetons follow the coordinates.
Fractional coordinates of all 4 atoms:
Br 0.000 0.000 0.500  0.01
Br 0.000 0.500 0.000  0.01
Cr 0.500 0.500 0.500  3.56
Tc 0.500 0.000 0.000  -0.55

Output
* space-group type: P4/mmm (123)
* crystal system: tetragonal

Model x:
## CrTcBr2 (GGA-PBEsol)

Data for a relaxed structure of CrTcBr2.

a b c (Å): 3.069 3.069 8.114
angles (deg): 79.10 79.10 60.00
Site moments in Bohr magnetons follow the coordinates.
Fractional coordinates of all 4 atoms:
Br 0.247 0.247 0.260  -0.03
Br 0.753 0.753 0.740  -0.03
Cr 0.500 0.500 0.500  2.37
Tc 0.000 0.000 0.000  -0.57

Output
* space-group type: R-3m (166)
* crystal system: trigonal

What are the relative energies? In meV/atom: model w 12; model x 0.

Model w:
## Li3Pt (GGA-PBEsol)

Data for a relaxed structure of Li3Pt.

a b c (Å): 4.296 4.296 7.652
angles (deg): 90.00 90.00 119.96
Fractional coordinates of all 8 atoms:
Pt 0.834 0.166 0.750
Pt 0.166 0.834 0.250
Li 0.500 0.500 0.250
Li 0.833 0.167 0.081
Li 0.833 0.167 0.419
Li 0.167 0.833 0.581
Li 0.167 0.833 0.919
Li 0.500 0.500 0.750

Output
* space-group type: Cmcm (63)
* crystal system: orthorhombic

Model x:
## Li3Pt (GGA-PBEsol)

Data for a relaxed structure of Li3Pt.

a b c (Å): 2.936 4.315 5.005
angles (deg): 115.54 107.06 90.00
Fractional coordinates of all 4 atoms:
Pt 0.000 0.500 0.000
Li 0.745 0.745 0.490
Li 0.255 0.255 0.510
Li 0.500 0.000 0.000

Output
* space-group type: Immm (71)
* crystal system: orthorhombic

What are the relative energies? In meV/atom: model w 48; model x 0.

Model w:
## Zr2SiPb (GGA-PBEsol)

Data for a relaxed structure of Zr2SiPb.

a b c (Å): 3.233 5.149 5.149
angles (deg): 103.38 97.01 97.01
Fractional coordinates of all 4 atoms:
Pb 0.500 0.500 0.500
Si 0.500 0.000 0.000
Zr 0.000 0.500 0.000
Zr 0.000 0.000 0.500

Output
* space-group type: C2/m (12)
* crystal system: monoclinic

Model x:
## Zr2SiPb (GGA-PBEsol)

Data for a relaxed structure of Zr2SiPb.

a b c (Å): 3.149 3.149 8.107
angles (deg): 90.00 90.00 90.00
Fractional coordinates of all 4 atoms:
Pb 0.500 0.500 0.000
Si 0.500 0.500 0.500
Zr 0.000 0.000 0.716
Zr 0.000 0.000 0.284

Output
* space-group type: P4/mmm (123)
* crystal system: tetragonal

What are the relative energies? In meV/atom: model w 88; model x 0.